1.
Density functional theory data (PBE) for a geometry-optimized BiSe2N2 structure.

a = 5.6793 Å, b = 5.6793 Å, c = 4.6669 Å
α = 90.00°, β = 90.00°, γ = 90.00°
With the nearest neighbours (Å) after each atom.
Atoms (fractional coordinates):
N  0.0000  0.0000  0.5000  2 Bi 2.33
N  0.5000  0.5000  0.5000  8 Se 3.68, 4 N 4.02
Bi  0.0000  0.0000  0.0000  2 N 2.33
Se  0.0000  0.5000  0.0000  2 Bi 2.84
Se  0.5000  0.0000  0.0000  2 Bi 2.84

Properties
* SG: P4/mmm, No. 123
* ρ: 4.357 g cm⁻³
* formation energy from raw total energies: 2.094 eV per atom
* offset from the most stable computed form: 2.159 eV per atom



2.
Density functional theory data (PBE) for a geometry-optimized Bi3SeN structure.

a = 4.9809 Å, b = 4.9809 Å, c = 4.9809 Å
α = 90.00°, β = 90.00°, γ = 90.00°
With the nearest neighbours (Å) after each atom.
Atoms (fractional coordinates):
Se  0.5000  0.5000  0.5000  12 Bi 3.52
Bi  0.0000  0.5000  0.0000  2 N 2.49
Bi  0.5000  0.0000  0.0000  2 N 2.49
Bi  0.0000  0.0000  0.5000  2 N 2.49
N  0.0000  0.0000  0.0000  6 Bi 2.49

Properties
* SG: Pm-3m, No. 221
* ρ: 9.674 g cm⁻³
* formation energy from raw total energies: 0.582 eV per atom
* offset from the most stable computed form: 0.000 eV per atom



3.
Density functional theory data (PBE) for a geometry-optimized BiSe2N2 structure.

a = 4.3123 Å, b = 4.3123 Å, c = 6.0510 Å
α = 90.00°, β = 90.00°, γ = 90.00°
With the nearest neighbours (Å) after each atom.
Atoms (fractional coordinates):
N  0.5000  0.0000  0.0000  2 Bi 2.16
N  0.0000  0.5000  0.0000  2 Bi 2.16
Se  0.0000  0.0000  0.5000  2 Bi 3.03, 4 Se 3.05
Se  0.5000  0.5000  0.5000  4 Se 3.05
Bi  0.0000  0.0000  0.0000  4 N 2.16

Properties
* SG: P4/mmm, No. 123
* ρ: 5.828 g cm⁻³
* formation energy from raw total energies: 1.653 eV per atom
* offset from the most stable computed form: 1.717 eV per atom



4.
Density functional theory data (PBE) for a geometry-optimized BiSe2N2 structure.

a = 4.0755 Å, b = 4.0755 Å, c = 5.1511 Å
α = 90.00°, β = 90.00°, γ = 90.00°
With the nearest neighbours (Å) after each atom.
Atoms (fractional coordinates):
Se  0.0000  0.0000  0.0000  4 N 2.04
Se  0.0000  0.0000  0.5000  2 Se 2.58, 4 Bi 2.88
N  0.5000  0.0000  0.0000  2 Se 2.04
N  0.0000  0.5000  0.0000  2 Se 2.04
Bi  0.5000  0.5000  0.5000  4 Se 2.88

Properties
* SG: P4/mmm, No. 123
* ρ: 7.665 g cm⁻³
* formation energy from raw total energies: 1.390 eV per atom
* offset from the most stable computed form: 1.454 eV per atom



5.
Density functional theory data (PBE) for a geometry-optimized BiSe2N2 structure.

a = 4.0181 Å, b = 4.0091 Å, c = 14.3772 Å
α = 118.72°, β = 90.00°, γ = 120.07°
With the nearest neighbours (Å) after each atom.
Atoms (fractional coordinates):
Bi  0.0000  0.0000  0.0000  6 Se 2.89
N  0.9784  0.9569  0.5320  1 N 1.11
N  0.0216  0.0431  0.4680  1 N 1.11
Se  0.8326  0.6653  0.1447  3 Bi 2.89
Se  0.1674  0.3347  0.8553  3 Bi 2.89

Properties
* SG: C2/m, No. 12
* ρ: 3.934 g cm⁻³
* formation energy from raw total energies: -0.064 eV per atom
* offset from the most stable computed form: 0.000 eV per atom



6.
Density functional theory data (PBE) for a geometry-optimized BiSeN2 structure.

a = 4.3210 Å, b = 4.3210 Å, c = 4.3210 Å
α = 60.00°, β = 60.00°, γ = 60.00°
With the nearest neighbours (Å) after each atom.
Atoms (fractional coordinates):
Bi  0.5000  0.5000  0.5000  8 N 2.65
N  0.2500  0.2500  0.2500  4 Bi 2.65, 4 Se 2.65
N  0.7500  0.7500  0.7500  4 Se 2.65, 4 Bi 2.65
Se  0.0000  0.0000  0.0000  8 N 2.65

Properties
* SG: Fm-3m, No. 225
* ρ: 9.197 g cm⁻³
* formation energy from raw total energies: 1.699 eV per atom
* offset from the most stable computed form: 1.687 eV per atom



7.
Density functional theory data (PBE) for a geometry-optimized BiSeN2 structure.

a = 7.2400 Å, b = 7.2400 Å, c = 7.2400 Å
α = 25.90°, β = 25.90°, γ = 25.90°
With the nearest neighbours (Å) after each atom.
Atoms (fractional coordinates):
Se  0.5000  0.5000  0.5000  6 N 2.17
N  0.1148  0.1148  0.1148  3 Se 2.17, 1 Bi 2.41
N  0.8852  0.8852  0.8852  3 Se 2.17, 1 Bi 2.41
Bi  0.0000  0.0000  0.0000  2 N 2.41

Properties
* SG: R-3m, No. 166
* ρ: 8.227 g cm⁻³
* formation energy from raw total energies: 1.166 eV per atom
* offset from the most stable computed form: 1.154 eV per atom



8.
Density functional theory data (PBE) for a geometry-optimized Sm4Bi2SeN2 structure.

a = 4.1715 Å, b = 8.3619 Å, c = 8.1194 Å
α = 113.56°, β = 104.89°, γ = 90.00°
With the nearest neighbours (Å) after each atom.
Atoms (fractional coordinates):
Sm  0.7817  0.8667  0.5634  3 N 2.26-2.37
Sm  0.2183  0.1333  0.4366  3 N 2.26-2.37
Sm  0.4684  0.2173  0.9368  1 N 2.21
Sm  0.5316  0.7827  0.0632  1 N 2.21
Bi  0.8921  0.4589  0.7841  1 Bi 3.17, 4 Sm 3.40-3.45
Bi  0.1079  0.5411  0.2159  1 Bi 3.17, 4 Sm 3.40-3.45
N  0.6767  0.9879  0.3533  4 Sm 2.21-2.37
N  0.3233  0.0121  0.6467  4 Sm 2.21-2.37
Se  0.0000  0.0000  0.0000  6 Sm 2.94-3.13

Properties
* SG: C2/m, No. 12
* ρ: 7.505 g cm⁻³
* formation energy from raw total energies: -1.241 eV per atom



9.
Density functional theory data (PBE) for a geometry-optimized SnBiSe2N structure.

a = 5.4489 Å, b = 5.4489 Å, c = 3.9705 Å
α = 90.00°, β = 90.00°, γ = 90.00°
With the nearest neighbours (Å) after each atom.
Atoms (fractional coordinates):
N  0.0000  0.0000  0.5000  2 Sn 1.99
Se  0.5000  0.0000  0.0000  2 Sn 2.72
Se  0.0000  0.5000  0.0000  2 Sn 2.72
Bi  0.5000  0.5000  0.5000  8 Se 3.37
Sn  0.0000  0.0000  0.0000  2 N 1.99

Properties
* SG: P4/mmm, No. 123
* ρ: 7.038 g cm⁻³
* formation energy from raw total energies: 0.538 eV per atom
* offset from the most stable computed form: 0.000 eV per atom



10.
Density functional theory data (PBE) for a geometry-optimized SnBiSe2N structure.

a = 5.5874 Å, b = 5.5874 Å, c = 4.3763 Å
α = 90.00°, β = 90.00°, γ = 90.00°
With the nearest neighbours (Å) after each atom.
Atoms (fractional coordinates):
N  0.0000  0.0000  0.5000  2 Bi 2.19
Se  0.5000  0.0000  0.0000  2 Bi 2.79
Se  0.0000  0.5000  0.0000  2 Bi 2.79
Bi  0.0000  0.0000  0.0000  2 N 2.19
Sn  0.5000  0.5000  0.5000  8 Se 3.55, 4 N 3.95

Properties
* SG: P4/mmm, No. 123
* ρ: 6.072 g cm⁻³
* formation energy from raw total energies: 0.727 eV per atom
* offset from the most stable computed form: 0.189 eV per atom



11.
Density functional theory data (PBE) for a geometry-optimized SnBiSeN2 structure.

a = 4.3675 Å, b = 4.3675 Å, c = 5.8007 Å
α = 90.00°, β = 90.00°, γ = 90.00°
With the nearest neighbours (Å) after each atom.
Atoms (fractional coordinates):
N  0.0000  0.5000  0.0000  2 Bi 2.18
N  0.5000  0.0000  0.0000  2 Bi 2.18
Bi  0.0000  0.0000  0.0000  4 N 2.18
Se  0.0000  0.0000  0.5000  2 Bi 2.90, 4 Sn 3.09
Sn  0.5000  0.5000  0.5000  4 Se 3.09

Properties
* SG: P4/mmm, No. 123
* ρ: 6.523 g cm⁻³
* formation energy from raw total energies: 1.252 eV per atom
* offset from the most stable computed form: 0.211 eV per atom



12.
Density functional theory data (PBE) for a geometry-optimized SnBiSeN2 structure.

a = 4.2141 Å, b = 4.2141 Å, c = 5.4238 Å
α = 90.00°, β = 90.00°, γ = 90.00°
With the nearest neighbours (Å) after each atom.
Atoms (fractional coordinates):
Bi  0.5000  0.5000  0.5000  4 Se 2.98
Se  0.0000  0.0000  0.5000  2 Sn 2.71, 4 Bi 2.98
Sn  0.0000  0.0000  0.0000  4 N 2.11
N  0.0000  0.5000  0.0000  2 Sn 2.11
N  0.5000  0.0000  0.0000  2 Sn 2.11

Properties
* SG: P4/mmm, No. 123
* ρ: 7.494 g cm⁻³
* formation energy from raw total energies: 1.041 eV per atom
* offset from the most stable computed form: 0.000 eV per atom